First-principles (PBE) data for a relaxed structure of CuIr2Pt, as listed in the Alexandria database.

Lattice parameters (Å, degrees): 2.7633 2.7633 7.4679 90.00 90.00 90.00
Sites, in units of the cell vectors:
1 Cu 0.5000 0.5000 0.7500
2 Ir 0.0000 0.0000 0.9917
3 Ir 0.0000 0.0000 0.5083
4 Pt 0.5000 0.5000 0.2500

Values from the calculation:
DFT formation energy: 0.1496 eV/atom
energy relative to the lowest polymorph listed for this composition: 0.145 eV per atom

First-principles (PBE) data for a relaxed structure of YScZn4, as listed in the Alexandria database.

Lattice parameters (Å, degrees): 4.4196 5.5572 5.5572 74.23 66.57 66.57
Sites, in units of the cell vectors:
1 Y 0.0000 0.0000 0.0000
2 Sc 0.0000 0.5000 0.5000
3 Zn 0.6659 0.5723 0.0959
4 Zn 0.3341 0.9041 0.4277
5 Zn 0.3341 0.4277 0.9041
6 Zn 0.6659 0.0959 0.5723

Values from the calculation:
DFT formation energy: -0.3634 eV/atom
energy relative to the lowest polymorph listed for this composition: 0.000 eV per atom

First-principles (PBE) data for a relaxed structure of K4PmBi3O12, as listed in the Alexandria database.

Lattice parameters (Å, degrees): 7.5290 7.5290 7.5290 109.47 109.47 109.47
Each line ends with the local moment (μB).
Sites, in units of the cell vectors:
1 K 0.5000 0.5000 0.5000  0.00
2 K 0.0000 0.0000 0.5000  0.00
3 K 0.5000 0.0000 0.0000  0.00
4 K 0.0000 0.5000 0.0000  0.00
5 Pm 0.0000 0.0000 0.0000  -0.02
6 Bi 0.5000 0.0000 0.5000  -0.03
7 Bi 0.5000 0.5000 0.0000  -0.03
8 Bi 0.0000 0.5000 0.5000  -0.03
9 O 0.2500 0.5000 0.7500  0.18
10 O 0.7366 0.0000 0.7366  0.10
11 O 0.2634 0.0000 0.2634  0.10
12 O 0.7500 0.5000 0.2500  0.18
13 O 0.7366 0.7366 0.0000  0.10
14 O 0.2634 0.2634 0.0000  0.10
15 O 0.7500 0.2500 0.5000  0.18
16 O 0.2500 0.7500 0.5000  0.18
17 O 0.5000 0.2500 0.7500  0.18
18 O 0.0000 0.7366 0.7366  0.10
19 O 0.5000 0.7500 0.2500  0.18
20 O 0.0000 0.2634 0.2634  0.10

Values from the calculation:
uncorrected energy: -106.357 eV/f.u.

First-principles (PBE) data for a relaxed structure of BeSnSe, as listed in the Alexandria database.

Lattice parameters (Å, degrees): 6.2235 3.5737 6.3270 90.00 103.16 90.00
Sites, in units of the cell vectors:
1 Be 0.7868 0.5000 0.8060
2 Be 0.3271 0.0000 0.8378
3 Sn 0.0562 0.5000 0.2519
4 Sn 0.6417 0.0000 0.1855
5 Se 0.1219 0.5000 0.7605
6 Se 0.6052 0.0000 0.6665

Values from the calculation:
energy relative to the lowest polymorph listed for this composition: 0.105 eV per atom

First-principles (PBE) data for a relaxed structure of Al2PtSe, as listed in the Alexandria database.

Lattice parameters (Å, degrees): 6.7968 6.7968 6.7968 30.71 30.71 30.71
Sites, in units of the cell vectors:
1 Se 0.2500 0.2500 0.2500
2 Pt 0.7500 0.7500 0.7500
3 Al 0.0078 0.0078 0.0078
4 Al 0.4922 0.4922 0.4922

Values from the calculation:
uncorrected energy: -19.329 eV/f.u.

First-principles (PBE) data for a relaxed structure of Tb5Nd12Tm, as listed in the Alexandria database.

Lattice parameters (Å, degrees): 15.4130 10.9037 5.1510 90.01 90.01 45.09
Sites, in units of the cell vectors:
1 Tb 0.5000 0.0000 0.5000
2 Tb 0.1662 0.6676 0.5000
3 Tb 0.8338 0.3325 0.5000
4 Tb 0.6667 0.6667 0.0000
5 Tb 0.3333 0.3333 0.0000
6 Nd 0.8354 0.0000 0.5000
7 Nd 0.1646 0.0000 0.5000
8 Nd 0.6656 0.0000 0.0000
9 Nd 0.3344 0.0000 0.0000
10 Nd 0.3314 0.6671 0.0000
11 Nd 0.0015 0.6672 0.0000
12 Nd 0.9985 0.3328 0.0000
13 Nd 0.6686 0.3329 0.0000
14 Nd 0.4986 0.3335 0.5000
15 Nd 0.8321 0.6665 0.5000
16 Nd 0.1679 0.3335 0.5000
17 Nd 0.5014 0.6666 0.5000
18 Tm 0.0000 0.0000 0.0000

Values from the calculation:
DFT formation energy: 0.0182 eV/atom

First-principles (PBE) data for a relaxed structure of Na2LiPrI6, as listed in the Alexandria database.

Lattice parameters (Å, degrees): 7.9642 7.9649 8.5174 62.15 62.18 60.01
Sites, in units of the cell vectors:
1 Na 0.5173 0.5173 0.4485
2 Na 0.0143 0.0143 0.9568
3 Li 0.8182 0.8187 0.5444
4 Pr 0.3256 0.3254 0.0234
5 I 0.5939 0.2083 0.2622
6 I 0.2084 0.9357 0.2621
7 I 0.9359 0.5938 0.2620
8 I 0.4388 0.7196 0.7521
9 I 0.7195 0.0897 0.7519
10 I 0.0897 0.4388 0.7518

Values from the calculation:
uncorrected energy: -31.505 eV/f.u.

First-principles (PBE) data for a relaxed structure of ZrScTe2N, as listed in the Alexandria database.

Lattice parameters (Å, degrees): 5.5685 5.5685 3.9028 90.00 90.00 90.00
Each line ends with the local moment (μB).
Sites, in units of the cell vectors:
1 Sc 0.0000 0.0000 0.0000  0.01
2 Te 0.0000 0.5000 0.0000  0.04
3 Te 0.5000 0.0000 0.0000  0.04
4 Zr 0.5000 0.5000 0.5000  -0.07
5 N 0.0000 0.0000 0.5000  0.38

Values from the calculation:
energy relative to the lowest polymorph listed for this composition: 0.287 eV per atom